[1]
Compound: ScFeSbOs
Source: OQMD via LeMat-Bulk
Functional: PBE
Structure: relaxed

Geometry as POSCAR:
```
ScFeSbOs
1.0
0.0000 3.1506 3.1506
3.1506 0.0000 3.1506
3.1506 3.1506 0.0000
Sc Fe Sb Os
1 1 1 1
direct
0.0000 0.0000 0.0000 Sc
0.7500 0.7500 0.7500 Fe
0.5000 0.5000 0.5000 Sb
0.2500 0.2500 0.2500 Os
```

[2]
Compound: ScFeSbOs
Source: OQMD via LeMat-Bulk
Functional: PBE
Structure: relaxed

Geometry as POSCAR:
```
ScFeSbOs
1.0
0.0000 3.2379 3.2379
3.2379 0.0000 3.2379
3.2379 3.2379 0.0000
Sc Fe Sb Os
1 1 1 1
direct
0.0000 0.0000 0.0000 Sc
0.5000 0.5000 0.5000 Fe
0.2500 0.2500 0.2500 Sb
0.7500 0.7500 0.7500 Os
```

[3]
Compound: TaFeSbOs
Source: OQMD via LeMat-Bulk
Functional: PBE
Structure: relaxed

Geometry as POSCAR:
```
TaFeSbOs
1.0
0.0000 3.1998 3.1998
3.1998 0.0000 3.1998
3.1998 3.1998 0.0000
Ta Fe Sb Os
1 1 1 1
direct
0.0000 0.0000 0.0000 Ta
0.5000 0.5000 0.5000 Fe
0.2500 0.2500 0.2500 Sb
0.7500 0.7500 0.7500 Os
```

[4]
Compound: TaFeSbOs
Source: OQMD via LeMat-Bulk
Functional: PBE
Structure: relaxed

Geometry as POSCAR:
```
TaFeSbOs
1.0
0.0000 3.1763 3.1763
3.1763 0.0000 3.1763
3.1763 3.1763 0.0000
Ta Fe Sb Os
1 1 1 1
direct
0.0000 0.0000 0.0000 Ta
0.7500 0.7500 0.7500 Fe
0.5000 0.5000 0.5000 Sb
0.2500 0.2500 0.2500 Os
```

no.,calculated density (Mg/m³),energy above the most stable polymorph in this dataset (meV per atom),calculated volume (Å³ per atom)
1,10.96,0.0,15.64
2,10.10,351.0,16.97
3,13.91,295.5,16.38
4,14.22,0.0,16.02